TiSnSeBr2 | PBE | optimized geometry

Output
- Size of the total moment: 1.92 μB/f.u.
- Formation energy from raw total energies: -2.37 eV/f.u.
- Relative energy among the computed polymorphs: 0.000 eV/atom

Lattice parameters (Å, degrees): 5.1483 5.1483 5.1231 90.00 90.00 90.00
Sites, in units of the cell vectors:
Ti 0.0000 0.0000 0.0000
Br 0.0000 0.5000 0.0000
Br 0.5000 0.0000 0.0000
Se 0.0000 0.0000 0.5000
Sn 0.5000 0.5000 0.5000